The following is a DFT calculation (PBE with a Hubbard U) of crystalline PmGa2WO8 at its relaxed geometry.

## Properties
electronic total energy: -6.8179 eV per atom
calculated density: 6.8 g/cm3

a b c (Å): 4.7027 4.7011 6.6029
angles (deg): 90.00 90.00 89.22
Closest atoms and distances in Å follow each position.
Fractional coordinates of all 12 atoms:
Pm  0.0000  0.0000  0.5000  6 O 2.25-2.33
Ga  0.5000  0.5000  0.7657  6 O 1.97-2.07
Ga  0.5000  0.5000  0.2343  6 O 1.97-2.07
W  0.0000  0.0000  0.0000  6 O 1.93-1.99
O  0.2021  0.7972  0.2114  1 W 1.93, 1 Ga 1.97
O  0.7028  0.7035  0.0000  1 W 1.99, 2 Ga 2.06
O  0.7979  0.2028  0.2114  1 W 1.93, 1 Ga 1.97
O  0.7979  0.2028  0.7886  1 W 1.93, 1 Ga 1.97
O  0.2972  0.2965  0.0000  1 W 1.99, 2 Ga 2.06
O  0.2021  0.7972  0.7886  1 W 1.93, 1 Ga 1.97
O  0.6640  0.6649  0.5000  2 Ga 2.07, 1 O 2.20, 1 Pm 2.25
O  0.3360  0.3351  0.5000  2 Ga 2.07, 1 O 2.20, 1 Pm 2.25